{
  "formula": "LuZrAl2",
  "functional": "PBE",
  "state": "optimized geometry",
  "lattice": [[3.3063, 0.0000, 0.0000], [1.6531, 2.8633, 0.0000], [1.6531, 0.9544, 9.3106]],
  "species": ["Lu", "Al", "Al", "Zr"],
  "frac_coords": [[0.5000, 0.5000, 0.5000], [0.7474, 0.7474, 0.7577], [0.2526, 0.2526, 0.2423], [0.0000, 0.0000, 0.0000]],
  "total_energy_ev_per_fu": -21.18,
  "e_form_ev_per_atom": -0.157,
  "polymorph_energy_mev_per_atom": 199
}

***

{
  "formula": "Ac6Ge3P2I",
  "functional": "PBE",
  "state": "optimized geometry",
  "lattice": [[4.5146, 0.0000, 0.0000], [0.0000, 9.3172, 0.3686], [-2.2573, -2.6454, 9.6312]],
  "species": ["Ac", "Ac", "Ac", "Ac", "Ac", "Ac", "Ge", "Ge", "Ge", "P", "P", "I"],
  "frac_coords": [[0.3241, 0.9019, 0.6482], [0.6682, 0.5768, 0.3365], [0.6759, 0.0981, 0.3518], [0.0038, 0.2776, 0.0077], [0.9962, 0.7224, 0.9923], [0.3318, 0.4232, 0.6635], [0.5000, 0.5000, 0.0000], [0.8388, 0.1651, 0.6776], [0.1612, 0.8349, 0.3224], [0.8330, 0.6667, 0.6661], [0.1670, 0.3333, 0.3339], [0.5000, 0.0000, 0.0000]],
  "raw_formation_energy_ev_per_atom": -1.003,
  "total_energy_ev_per_fu": -62.90
}

***

{
  "formula": "CdNiBr4",
  "functional": "PBE",
  "state": "optimized geometry",
  "lattice": [[0.0000, 4.4318, 4.4318], [4.4318, 0.0000, 4.4318], [4.4318, 4.4318, 0.0000]],
  "species": ["Cd", "Ni", "Br", "Br", "Br", "Br"],
  "frac_coords": [[0.7500, 0.7500, 0.7500], [0.0000, 0.0000, 0.0000], [0.8737, 0.3754, 0.3754], [0.3754, 0.3754, 0.8737], [0.3754, 0.8737, 0.3754], [0.3754, 0.3754, 0.3754]],
  "raw_formation_energy_ev_per_atom": 0.886,
  "total_energy_ev_per_fu": -8.07,
  "polymorph_energy_mev_per_atom": 1457
}